1.
6
Lattice="3.888 -2.245 0.000 0.000 4.489 0.000 0.000 0.000 5.286" Properties=species:S:1:pos:R:3 comment="MgCuP (GGA-PBE, optimized geometry)" n_ef_per_ev_fu=0.097 pbc="T T T"
P 1.296 2.245 3.964
P 2.592 0.000 1.321
Mg 1.296 2.245 1.321
Mg 2.592 0.000 3.964
Cu 0.000 0.000 0.000
Cu 0.000 0.000 2.643

2.
12
Lattice="-1.104 2.706 -4.378 -5.568 -4.033 -1.089 -5.911 6.650 5.600" Properties=species:S:1:pos:R:3 comment="La2PmPrTl2 (GGA-PBE, optimized geometry)" n_ef_per_ev_fu=7.359 pbc="T T T"
La -1.385 1.382 -1.960
La -2.790 -0.073 0.658
La -9.396 5.245 2.447
La -9.379 2.191 3.719
Pm -5.643 5.241 1.498
Pm -6.145 0.658 -1.208
Pr -8.003 -0.806 1.520
Pr -5.733 1.788 2.551
Tl -6.735 4.513 4.488
Tl -4.002 2.999 -0.302
Tl -5.273 -2.279 -0.079
Tl -8.214 2.589 0.507

3.
5
Lattice="-3.180 4.844 -1.640 -4.415 -1.626 3.759 2.581 3.187 4.410" Properties=species:S:1:pos:R:3 comment="BaIn3Re (GGA-PBE, optimized geometry)" n_ef_per_ev_fu=3.974 relative_energy_mev_per_atom=2490 pbc="T T T"
Re -2.507 3.203 3.264
Ba 0.000 0.000 0.000
In -2.208 -0.813 1.879
In 1.290 1.594 2.205
In -1.590 2.422 -0.820

4.
16
Lattice="5.057 0.000 0.000 0.000 7.180 0.000 0.000 0.000 14.370" Properties=species:S:1:pos:R:3 comment="Tb2PrY5 (GGA-PBE, optimized geometry)" n_ef_per_ev_fu=10.470 relative_energy_mev_per_atom=0 pbc="T T T"
Tb 2.528 1.800 8.990
Tb 2.528 5.380 5.381
Tb 2.528 1.790 1.805
Tb 2.528 5.390 12.566
Pr 0.000 0.000 7.185
Pr 0.000 3.590 0.000
Y 0.000 0.000 0.000
Y 0.000 3.590 7.185
Y 0.000 3.591 10.768
Y 0.000 3.589 3.602
Y 0.000 7.179 3.583
Y 0.000 0.001 10.787
Y 2.528 1.796 12.563
Y 2.528 5.384 1.807
Y 2.528 1.794 5.378
Y 2.528 5.386 8.992

5.
6
Lattice="4.012 0.000 0.000 0.000 3.867 -0.897 0.000 0.031 8.917" Properties=species:S:1:pos:R:3 comment="ThTcAg (GGA-PBE, optimized geometry)" n_ef_per_ev_fu=3.240 relative_energy_mev_per_atom=0 pbc="T T T"
Th 1.003 3.497 6.290
Th 3.009 0.401 1.730
Tc 1.003 2.097 0.256
Tc 3.009 1.801 7.764
Ag 3.009 1.136 4.898
Ag 1.003 2.762 3.122

6.
4
Lattice="-0.123 -4.142 -2.439 4.121 1.917 -1.568 1.535 -1.407 2.312" Properties=species:S:1:pos:R:3 comment="In2IrPt (GGA-PBE, optimized geometry)" n_ef_per_ev_fu=1.072 relative_energy_mev_per_atom=0 pbc="T T T"
In 0.000 0.000 0.000
In 1.999 -1.112 -2.004
Ir 0.706 -2.774 -0.064
Pt 2.828 0.255 0.372

7.
4
Lattice="-0.151 4.327 0.277 -0.584 0.254 -4.289 -7.972 -0.066 -3.305" Properties=species:S:1:pos:R:3 comment="Ba2ScAs (GGA-PBE, optimized geometry)" n_ef_per_ev_fu=4.493 pbc="T T T"
As -6.492 2.305 -5.557
Ba -7.748 -0.056 -3.333
Ba -4.502 0.084 -3.769
Sc -2.214 2.211 -1.760

8.
4
Lattice="4.406 -0.171 -0.082 1.142 4.259 0.082 -2.725 -2.111 2.752" Properties=species:S:1:pos:R:3 comment="ZnCu2Rh (GGA-PBE, optimized geometry)" n_ef_per_ev_fu=1.573 pbc="T T T"
Zn 0.595 2.096 1.417
Rh 2.774 2.044 0.000
Cu 0.000 0.000 0.000
Cu 2.228 -0.119 1.335

What did we get for raw total energy? Answer: -22.75, -51.74, -10.38, -92.42, -41.44, -21.26, -15.71, -17.41 eV/cell, in the order shown.
What did we get for ΔE_f? Answer: -0.092, -0.292, 2.441, 0.019, -0.028, -0.222, -0.220, -0.149 eV per atom, in the order shown.